Below is a geometry-optimized VGe2Pb3O9 structure, with properties calculated at the GGA+U level.

a b c (Å): 5.5266 5.5266 6.7848
angles (deg): 90.00 90.00 120.00
Closest atoms and distances in Å follow each position.
Sites, in units of the cell vectors:
O 0.8312 0.6624 0.6700  1 Ge 1.92, 1 V 1.99
Pb 0.0000 0.0000 0.0000  12 O 2.76
O 0.8312 0.1688 0.6700  1 Ge 1.92, 1 V 1.99
Pb 0.3333 0.6667 0.6728  12 O 2.73-2.81
O 0.0000 0.5000 0.0000  2 Ge 1.96
Pb 0.6667 0.3333 0.3272  12 O 2.73-2.81
O 0.6624 0.8312 0.3300  1 Ge 1.92, 1 V 1.99
O 0.1688 0.3376 0.3300  1 Ge 1.92, 1 V 1.99
Ge 0.3333 0.6667 0.1685  6 O 1.92-1.96
O 0.3376 0.1688 0.6700  1 Ge 1.92, 1 V 1.99
O 0.5000 0.5000 0.0000  2 Ge 1.96
Ge 0.6667 0.3333 0.8315  6 O 1.92-1.96
O 0.1688 0.8312 0.3300  1 Ge 1.92, 1 V 1.99
V 0.0000 0.0000 0.5000  6 O 1.99
O 0.5000 0.0000 0.0000  2 Ge 1.96

Output
raw total energy: -93.308 eV per cell
space-group type: P-3m1

Below is a geometry-optimized VGePbO6 structure, with properties calculated at the GGA+U level.

a b c (Å): 5.0928 5.0928 9.8903
angles (deg): 90.00 90.00 120.00
Closest atoms and distances in Å follow each position.
Sites, in units of the cell vectors:
O 0.6215 0.6204 0.6444  1 V 1.90, 1 Ge 1.91
O 0.3785 0.9989 0.1444  1 V 1.90, 1 Ge 1.91
O 0.9989 0.3785 0.6444  1 V 1.90, 1 Ge 1.91
O 0.0011 0.3796 0.1444  1 V 1.90, 1 Ge 1.91
O 0.9989 0.6204 0.8556  1 V 1.90, 1 Ge 1.91
Pb 0.0000 0.0000 0.5000  6 O 2.40
O 0.6204 0.6215 0.1444  1 V 1.90, 1 Ge 1.91
V 0.6667 0.3333 0.7500  6 O 1.90
O 0.6215 0.0011 0.8556  1 V 1.90, 1 Ge 1.91
Ge 0.3333 0.6667 0.7500  6 O 1.91
Pb 0.0000 0.0000 0.0000  6 O 2.40
Ge 0.6667 0.3333 0.2500  6 O 1.91
O 0.6204 0.9989 0.3556  1 V 1.90, 1 Ge 1.91
O 0.3796 0.0011 0.6444  1 V 1.90, 1 Ge 1.91
O 0.3796 0.3785 0.8556  1 V 1.90, 1 Ge 1.91
V 0.3333 0.6667 0.2500  6 O 1.90
O 0.0011 0.6215 0.3556  1 V 1.90, 1 Ge 1.91
O 0.3785 0.3796 0.3556  1 V 1.90, 1 Ge 1.91

Output
raw total energy: -117.924 eV per cell
space-group type: P-31c

Below is a geometry-optimized VGePb2O6 structure, with properties calculated at the GGA+U level.

a b c (Å): 5.6536 5.6536 9.7757
angles (deg): 73.19 73.19 60.00
Closest atoms and distances in Å follow each position.
Sites, in units of the cell vectors:
O 0.3911 0.8489 0.3689  1 Ge 1.92, 1 V 2.08
O 0.2001 0.7225 0.8773  1 V 1.89, 1 Ge 1.93
Pb 0.8725 0.8725 0.3824  12 O 2.83-2.90
O 0.1511 0.6089 0.6311  1 Ge 1.92, 1 V 2.08
O 0.3911 0.3911 0.3689  1 Ge 1.92, 1 V 2.08
O 0.8489 0.3911 0.3689  1 Ge 1.92, 1 V 2.08
O 0.7999 0.7999 0.1227  1 V 1.89, 1 Ge 1.93
Pb 0.1275 0.1275 0.6176  12 O 2.83-2.90
O 0.2001 0.2001 0.8773  1 V 1.89, 1 Ge 1.93
Ge 0.5000 0.5000 0.5000  6 O 1.92
Pb 0.2739 0.2739 0.1784  3 O 2.49
Pb 0.7261 0.7261 0.8216  3 O 2.49
V 0.5961 0.5961 0.2118  6 O 1.89-2.08
O 0.6089 0.6089 0.6311  1 Ge 1.92, 1 V 2.08
Ge 0.0000 0.0000 0.0000  6 O 1.93
O 0.7999 0.2775 0.1227  1 V 1.89, 1 Ge 1.93
O 0.7225 0.2001 0.8773  1 V 1.89, 1 Ge 1.93
O 0.2775 0.7999 0.1227  1 V 1.89, 1 Ge 1.93
O 0.6089 0.1511 0.6311  1 Ge 1.92, 1 V 2.08
V 0.4039 0.4039 0.7882  6 O 1.89-2.08

Output
raw total energy: -127.801 eV per cell
space-group type: R-3m

Below is a geometry-optimized V2GePb5O12 structure, with properties calculated at the GGA+U level.

a b c (Å): 7.4548 10.3247 10.3960
angles (deg): 60.56 90.00 90.00
Closest atoms and distances in Å follow each position.
Sites, in units of the cell vectors:
O 0.0000 0.6918 0.4855  1 V 1.75
Ge 0.5000 0.6181 0.9825  4 O 1.77-1.80
Pb 0.0000 0.2581 0.7376  1 O 2.27
V 0.5000 0.9792 0.3993  4 O 1.73-1.78
O 0.1836 0.2557 0.0846  1 V 1.73
O 0.6857 0.7420 0.9099  1 Ge 1.78
Pb 0.5000 0.2680 0.9636  3 O 2.25-2.50
O 0.5000 0.5138 0.8856  1 Ge 1.80
O 0.5000 0.8806 0.5962  1 V 1.78
O 0.8164 0.2557 0.0846  1 V 1.73
O 0.3130 0.3583 0.7363  1 Ge 1.79
O 0.0000 0.8203 0.7034  1 V 1.75
O 0.3143 0.7420 0.9099  1 Ge 1.78
O 0.6835 0.9211 0.3388  1 V 1.73
O 0.0000 0.4797 0.8264  1 V 1.76
O 0.0000 0.0934 0.4142  1 V 1.77
V 0.0000 0.0154 0.6090  4 O 1.73-1.77
Pb 0.5000 0.7470 0.2647  1 O 2.25
Pb 0.5000 0.9671 0.7619  3 O 2.30-2.48
O 0.3165 0.9211 0.3388  1 V 1.73
Pb 0.0000 0.0078 0.2536  1 O 2.24
O 0.8167 0.0828 0.6602  1 V 1.73
O 0.5000 0.3347 0.4924  1 Ge 1.76
O 0.5000 0.6081 0.5123  1 Ge 1.80
Pb 0.7347 0.3410 0.3329  3 O 2.39-2.48
O 0.0000 0.4081 0.4892  1 V 1.78
Pb 0.2483 0.6537 0.6772  6 O 2.51-2.79
O 0.1833 0.0828 0.6602  1 V 1.73
O 0.5000 0.1704 0.3337  1 V 1.74
O 0.8140 0.6534 0.2634  1 V 1.73
O 0.0000 0.4897 0.1003  1 V 1.77
Pb 0.2653 0.3410 0.3329  3 O 2.39-2.48
O 0.5000 0.5047 0.1768  1 Ge 1.77
Pb 0.0000 0.7426 0.9933  3 O 2.28-2.50
Ge 0.5000 0.4079 0.6136  4 O 1.76-1.80
V 0.0000 0.3731 0.0204  4 O 1.73-1.77
O 0.6870 0.3583 0.7363  1 Ge 1.79
Pb 0.7517 0.6537 0.6772  6 O 2.51-2.79
V 0.0000 0.6048 0.3779  4 O 1.73-1.78
O 0.1860 0.6534 0.2634  1 V 1.73

Output
raw total energy: -257.968 eV per cell
space-group type: Pm

Below is a geometry-optimized GePbWO6 structure, with properties calculated at the GGA+U level.

a b c (Å): 5.2050 5.2050 10.8743
angles (deg): 90.00 90.00 120.00
Closest atoms and distances in Å follow each position.
Sites, in units of the cell vectors:
O 0.3843 0.9959 0.6504  1 Ge 1.93, 1 W 1.96
Pb 0.0000 0.0000 0.0000  6 O 2.59
O 0.3884 0.0041 0.1504  1 Ge 1.93, 1 W 1.96
O 0.9959 0.6116 0.3496  1 Ge 1.93, 1 W 1.96
O 0.3843 0.3884 0.8496  1 Ge 1.93, 1 W 1.96
O 0.6116 0.9959 0.8496  1 Ge 1.93, 1 W 1.96
W 0.6667 0.3333 0.7500  6 O 1.96
Ge 0.6667 0.3333 0.2500  6 O 1.93
W 0.3333 0.6667 0.2500  6 O 1.96
Pb 0.0000 0.0000 0.5000  6 O 2.59
O 0.0041 0.6157 0.8496  1 Ge 1.93, 1 W 1.96
O 0.3884 0.3843 0.3496  1 Ge 1.93, 1 W 1.96
Ge 0.3333 0.6667 0.7500  6 O 1.93
O 0.9959 0.3843 0.1504  1 Ge 1.93, 1 W 1.96
O 0.6157 0.6116 0.1504  1 Ge 1.93, 1 W 1.96
O 0.6116 0.6157 0.6504  1 Ge 1.93, 1 W 1.96
O 0.0041 0.3884 0.6504  1 Ge 1.93, 1 W 1.96
O 0.6157 0.0041 0.3496  1 Ge 1.93, 1 W 1.96

Output
raw total energy: -121.352 eV per cell
space-group type: P-31c